# 1
Compound: NiTe4Mo
Source: the Alexandria database
Functional: PBE
Structure: relaxed

abc: 8.7682 8.7682 8.7682
angles: 90.00 90.00 90.00
With the nearest neighbours (Å) after each atom.
Space group F-43m (No. 216)
Asymmetric unit:
1 Ni 0.0000 0.0000 0.0000 [4 per cell]  12 Te 3.63, 4 Mo 3.80
2 Te 0.1252 0.1252 0.6252 [16 per cell]  6 Te 3.10
3 Mo 0.2500 0.2500 0.2500 [4 per cell]  12 Te 3.64, 4 Ni 3.80

Computed properties:
- Calculated volume: 28.1 Å³/atom
- Energy relative to the elements, uncorrected: 8.17 eV/f.u.
- E_tot: -84.05 eV/cell

***

# 2
Compound: AgIrCl6
Source: the Alexandria database
Functional: PBE
Structure: relaxed

abc: 11.2942 8.2109 9.0272
angles: 90.00 103.08 90.00
With the nearest neighbours (Å) after each atom.
Space group C2/c (No. 15)
Asymmetric unit:
1 Ag 0.0000 0.0415 0.2500 [4 per cell]  4 Cl 2.55-2.81
2 Ir 0.2500 0.2500 0.0000 [4 per cell]  6 Cl 2.29-2.35
3 Cl 0.0814 0.3048 0.0999 [8 per cell]  1 Ir 2.33
4 Cl 0.1391 0.3017 0.7585 [8 per cell]  1 Ir 2.29
5 Cl 0.1867 0.0225 0.4691 [8 per cell]  1 Ir 2.35, 1 Ag 2.55

Computed properties:
- Calculated volume: 25.5 Å³/atom
- Energy relative to the elements, uncorrected: -2.87 eV/f.u.
- E_tot: -102.66 eV/cell

***

# 3
Compound: Li2CaCr
Source: the Alexandria database
Functional: PBE
Structure: relaxed

abc: 6.9206 6.9206 6.9206
angles: 90.00 90.00 90.00
With the nearest neighbours (Å) after each atom.
Space group Fm-3m (No. 225)
Asymmetric unit:
1 Li 0.2500 0.2500 0.2500 [8 per cell]  4 Cr 3.00, 4 Ca 3.00
2 Ca 0.0000 0.0000 0.0000 [4 per cell]  8 Li 3.00
3 Cr 0.0000 0.0000 0.5000 [4 per cell]  8 Li 3.00

Computed properties:
- Calculated volume: 20.7 Å³/atom
- E_tot: -48.36 eV/cell
- E_form: 841 meV per atom

***

# 4
Compound: Ba3Sn2Pb
Source: the Alexandria database
Functional: PBE
Structure: relaxed

abc: 9.6424 10.5417 10.8239
angles: 90.00 112.59 90.00
With the nearest neighbours (Å) after each atom.
Space group P2_1/c (No. 14)
Asymmetric unit:
1 Ba 0.1449 0.1699 0.3969 [4 per cell]  4 Sn 3.43-3.73, 1 Pb 3.66
2 Ba 0.2516 0.5899 0.6615 [4 per cell]  4 Sn 3.54-3.63, 1 Pb 3.62
3 Ba 0.2749 0.5234 0.2666 [4 per cell]  3 Sn 3.52-3.94, 1 Pb 3.93
4 Sn 0.1005 0.6785 0.9083 [4 per cell]  1 Pb 3.12
5 Sn 0.4131 0.2184 0.1886 [4 per cell]  2 Pb 3.05-3.30
6 Pb 0.4493 0.6480 0.0159 [4 per cell]  3 Sn 3.05-3.30, 1 Pb 3.33

Computed properties:
- Calculated volume: 42.3 Å³/atom
- E_tot: -82.33 eV/cell
- E_form: -517 meV per atom

***

# 5
Compound: InTcW2
Source: the Alexandria database
Functional: PBE
Structure: relaxed

abc: 3.1543 4.6653 9.2291
angles: 90.00 90.00 90.00
With the nearest neighbours (Å) after each atom.
Space group Cmmm (No. 65)
Asymmetric unit:
1 In 0.0000 0.0000 0.0000 [2 per cell]  4 In 2.82, 4 W 2.93
2 Tc 0.0000 0.0000 0.5000 [2 per cell]  4 W 2.66, 4 Tc 2.82
3 W 0.0000 0.5000 0.2673 [4 per cell]  2 Tc 2.66, 4 W 2.82, 2 In 2.93

Computed properties:
- Calculated volume: 17.0 Å³/atom
- E_tot: -74.61 eV/cell
- E_form: 426 meV per atom

***

# 6
Compound: LiNbGaN2
Source: the Alexandria database
Functional: PBE
Structure: relaxed

abc: 3.8977 3.8977 3.8902
angles: 90.00 90.00 90.00
With the nearest neighbours (Å) after each atom.
Space group P4/mmm (No. 123)
Asymmetric unit:
1 Li 0.0000 0.0000 0.0000 [1 per cell]  2 Ga 1.95
2 Nb 0.5000 0.5000 0.0000 [1 per cell]  8 N 2.75, 4 Li 2.76
3 Ga 0.0000 0.0000 0.5000 [1 per cell]  2 Li 1.95, 4 N 1.95
4 N 0.0000 0.5000 0.5000 [2 per cell]  2 Ga 1.95

Computed properties:
- Calculated volume: 11.8 Å³/atom
- Energy relative to the elements, uncorrected: 5.78 eV/f.u.
- E_tot: -25.88 eV/cell

***

# 7
Compound: LaPm3In2
Source: the Alexandria database
Functional: PBE
Structure: relaxed

abc: 5.3828 10.1315 6.8815
angles: 90.00 90.00 90.00
With the nearest neighbours (Å) after each atom.
Space group Pmc2_1 (No. 26)
Asymmetric unit:
1 La 0.0000 0.0391 0.0000 [2 per cell]  5 In 3.39-3.71, 2 La 3.53, 3 Pm 3.57-3.72
2 Pm 0.0000 0.3252 0.6619 [2 per cell]  5 In 3.23-3.61, 2 Pm 3.57
3 Pm 0.5000 0.1796 0.2713 [2 per cell]  5 In 3.29-3.62, 2 La 3.57, 1 Pm 3.65
4 Pm 0.5000 0.4598 0.9384 [2 per cell]  5 In 3.35-3.71, 5 Pm 3.54-3.65
5 In 0.0000 0.3564 0.1845 [2 per cell]  7 Pm 3.23-3.61, 1 La 3.46
6 In 0.5000 0.1481 0.7474 [2 per cell]  6 Pm 3.29-3.62, 2 La 3.39

Computed properties:
- Calculated volume: 31.3 Å³/atom
- E_tot: -53.53 eV/cell
- E_form: -352 meV per atom

***

# 8
Compound: ScAlGe2
Source: the Alexandria database
Functional: PBE
Structure: relaxed

abc: 7.2669 7.2669 5.9149
angles: 90.00 90.00 90.00
With the nearest neighbours (Å) after each atom.
Space group I-42d (No. 122)
Asymmetric unit:
1 Sc 0.0000 0.0000 0.0000 [4 per cell]  4 Ge 2.82, 2 Al 2.96
2 Al 0.0000 0.0000 0.5000 [4 per cell]  4 Ge 2.54
3 Ge 0.2220 0.7500 0.6250 [8 per cell]  2 Al 2.54, 2 Sc 2.82

Computed properties:
- Calculated volume: 19.5 Å³/atom
- E_tot: -80.53 eV/cell
- E_form: -206 meV per atom

***

# 9
Compound: BaGaCu3
Source: the Alexandria database
Functional: PBE
Structure: relaxed

abc: 4.7834 4.7834 4.7834
angles: 90.00 90.00 90.00
With the nearest neighbours (Å) after each atom.
Space group Pm-3m (No. 221)
Asymmetric unit:
1 Ba 0.0000 0.0000 0.0000 [1 per cell]  12 Cu 3.38
2 Ga 0.5000 0.5000 0.5000 [1 per cell]  6 Cu 2.39
3 Cu 0.0000 0.5000 0.5000 [3 per cell]  2 Ga 2.39

Computed properties:
- Calculated volume: 21.9 Å³/atom
- E_tot: -17.06 eV/cell
- E_form: 35 meV per atom

***

# 10
Compound: RbScI2Br
Source: the Alexandria database
Functional: PBE
Structure: relaxed

abc: 5.9555 5.9555 5.4016
angles: 90.00 90.00 90.00
With the nearest neighbours (Å) after each atom.
Space group P4/mmm (No. 123)
Asymmetric unit:
1 Rb 0.0000 0.0000 0.0000 [1 per cell]  8 I 4.02, 4 Br 4.21
2 Sc 0.5000 0.5000 0.5000 [1 per cell]  2 Br 2.70, 4 I 2.98
3 I 0.0000 0.5000 0.5000 [2 per cell]  2 Sc 2.98
4 Br 0.5000 0.5000 0.0000 [1 per cell]  2 Sc 2.70

Computed properties:
- Calculated volume: 38.3 Å³/atom
- Energy relative to the elements, uncorrected: -6.47 eV/f.u.
- E_tot: -18.55 eV/cell

***

# 11
Compound: OsSe4
Source: the Alexandria database
Functional: PBE
Structure: relaxed

abc: 5.4684 5.4684 8.0440
angles: 90.00 90.00 90.00
With the nearest neighbours (Å) after each atom.
Space group I4/mmm (No. 139)
Asymmetric unit:
1 Os 0.0000 0.0000 0.0000 [2 per cell]  2 Se 2.35
2 Se 0.0000 0.0000 0.2928 [4 per cell]  1 Os 2.35
3 Se 0.0000 0.5000 0.2500 [4 per cell]  4 Se 2.76

Computed properties:
- Calculated volume: 24.1 Å³/atom
- Energy relative to the elements, uncorrected: 4.50 eV/f.u.
- E_tot: -41.34 eV/cell

***

# 12
Compound: ZrCrRu
Source: the Alexandria database
Functional: PBE
Structure: relaxed

abc: 6.1867 6.1867 6.1867
angles: 90.00 90.00 90.00
With the nearest neighbours (Å) after each atom.
Space group F-43m (No. 216)
Asymmetric unit:
1 Zr 0.0000 0.0000 0.0000 [4 per cell]  4 Cr 2.68, 4 Ru 2.68
2 Cr 0.2500 0.2500 0.2500 [4 per cell]  4 Zr 2.68
3 Ru 0.2500 0.2500 0.7500 [4 per cell]  4 Zr 2.68

Computed properties:
- Calculated volume: 19.7 Å³/atom
- E_tot: -100.83 eV/cell
- E_form: 747 meV per atom

***

# 13
Compound: Tm5Ru3
Source: the Alexandria database
Functional: PBE
Structure: relaxed

abc: 3.3834 3.3834 15.6583
angles: 90.00 90.00 90.00
With the nearest neighbours (Å) after each atom.
Space group P4/mmm (No. 123)
Asymmetric unit:
1 Tm 0.0000 0.0000 0.0000 [1 per cell]  8 Ru 2.97, 2 Tm 3.27
2 Tm 0.0000 0.0000 0.2088 [2 per cell]  4 Ru 2.83
3 Tm 0.5000 0.5000 0.3966 [2 per cell]  4 Ru 2.89
4 Ru 0.0000 0.0000 0.5000 [1 per cell]  8 Tm 2.89
5 Ru 0.5000 0.5000 0.1121 [2 per cell]  8 Tm 2.83-2.97

Computed properties:
- Calculated volume: 22.4 Å³/atom
- E_tot: -53.64 eV/cell
- E_form: -432 meV per atom